# 1
# Tm2Ag13, optimized geometry, DFT PBE
# Total magnetic moment   0.0 μB per formula unit
# ΔE_f   47 meV/atom
data_Tm2Ag13
_chemical_formula_sum 'Tm6 Ag39'
_cell_length_a 7.3987
_cell_length_b 7.3987
_cell_length_c 19.5446
_cell_angle_alpha 90.00
_cell_angle_beta 90.00
_cell_angle_gamma 120.00
_symmetry_space_group_name_H-M 'R -3 m'
_symmetry_Int_Tables_number 166
_symmetry_space_group_name_Hall '-R 3 2"'
loop_
_atom_site_label
_atom_site_fract_x
_atom_site_fract_y
_atom_site_fract_z
Tm1 0.0000 0.0000 0.1647
Ag1 0.0000 0.0000 0.0000
Ag2 0.0775 0.5388 0.2291
Ag3 0.0778 0.5389 0.3757

---

# 2
# Na2UTl3Te6, optimized geometry, DFT PBE
# Total magnetic moment   0.6 μB per formula unit
# Energy relative to the elements, uncorrected   -506 meV per atom
data_Na2UTl3Te6
_chemical_formula_sum 'Na4 U2 Tl6 Te12'
_cell_length_a 7.926
_cell_length_b 13.709
_cell_length_c 8.117
_cell_angle_alpha 90.00
_cell_angle_beta 108.76
_cell_angle_gamma 90.00
_symmetry_space_group_name_H-M 'C 1 2/m 1'
_symmetry_Int_Tables_number 12
loop_
_symmetry_equiv_pos_as_xyz
'x,y,z'
'-x,-y,-z'
'-x,y,-z'
'x,-y,z'
'x+1/2,y+1/2,z'
'-x+1/2,-y+1/2,-z'
'-x+1/2,y+1/2,-z'
'x+1/2,-y+1/2,z'
loop_
_atom_site_label
_atom_site_fract_x
_atom_site_fract_y
_atom_site_fract_z
Na1 0.000 0.164 0.000
U1 0.000 0.500 0.000
Tl1 0.000 0.000 0.500
Tl2 0.000 0.334 0.500
Te1 0.226 0.347 0.220
Te2 0.227 0.500 0.773